# 1
This record from Alexandria describes crystalline SrVIr3 at its relaxed geometry. The functional is GGA-PBE.

Lattice parameters (Å, degrees): 4.6565 4.6565 4.6565 90.00 90.00 90.00
Last column: nearest neighbours and their distance in Å.
Space group Pm-3m (No. 221)
Symmetry-distinct sites (fractional):
Sr1 0.0000 0.0000 0.0000 [1 per cell]  12 Ir 3.29
V1 0.5000 0.5000 0.5000 [1 per cell]  6 Ir 2.33
Ir1 0.0000 0.5000 0.5000 [3 per cell]  2 V 2.33

Summary:
distance to the lowest polymorph of the same formula	0.0	meV/atom
DFT formation energy	0.398	eV per atom



# 2
This record from Alexandria describes crystalline SrIrW2 at its relaxed geometry. The functional is GGA-PBE.

Lattice parameters (Å, degrees): 9.5996 3.0271 6.1461 90.00 103.55 90.00
Last column: nearest neighbours and their distance in Å.
Space group Cm (No. 8)
Symmetry-distinct sites (fractional):
Sr1 0.0000 0.0000 0.0000 [2 per cell]  2 Sr 3.03, 3 Ir 3.23-3.30, 3 W 3.33-3.38
Ir1 0.2680 0.5000 0.3199 [2 per cell]  4 W 2.62
W1 0.2061 0.0000 0.6327 [2 per cell]  2 W 2.55, 2 Ir 2.62
W2 0.4899 0.0000 0.4886 [2 per cell]  2 W 2.55, 2 Ir 2.62

Summary:
distance to the lowest polymorph of the same formula	106.6	meV/atom
DFT formation energy	0.615	eV per atom



# 3
This record from Alexandria describes crystalline SrIrW3 at its relaxed geometry. The functional is GGA-PBE.

Lattice parameters (Å, degrees): 4.8966 4.8966 4.8966 90.00 90.00 90.00
Last column: nearest neighbours and their distance in Å.
Space group Pm-3m (No. 221)
Symmetry-distinct sites (fractional):
Sr1 0.0000 0.0000 0.0000 [1 per cell]  12 W 3.46
Ir1 0.5000 0.5000 0.5000 [1 per cell]  6 W 2.45
W1 0.0000 0.5000 0.5000 [3 per cell]  2 Ir 2.45

Summary:
distance to the lowest polymorph of the same formula	0.0	meV/atom
DFT formation energy	1.604	eV per atom



# 4
This record from Alexandria describes crystalline SrIr4W at its relaxed geometry. The functional is GGA-PBE.

Lattice parameters (Å, degrees): 7.4755 7.4755 7.4755 90.00 90.00 90.00
Last column: nearest neighbours and their distance in Å.
Space group F-43m (No. 216)
Symmetry-distinct sites (fractional):
Sr1 0.0000 0.0000 0.0000 [4 per cell]  12 Ir 3.10, 4 W 3.24
Ir1 0.1253 0.1253 0.3747 [16 per cell]  6 Ir 2.64-2.65
W1 0.2500 0.2500 0.7500 [4 per cell]  12 Ir 3.10, 4 Sr 3.24

Summary:
DFT formation energy	0.291	eV per atom



# 5
This record from Alexandria describes crystalline SrIrW2 at its relaxed geometry. The functional is GGA-PBE.

Lattice parameters (Å, degrees): 3.0347 3.4306 7.8089 90.00 90.00 90.00
Last column: nearest neighbours and their distance in Å.
Space group Pmm2 (No. 25)
Symmetry-distinct sites (fractional):
Sr1 0.0000 0.0000 0.0000 [1 per cell]  2 Sr 3.03, 4 Ir 3.26
Ir1 0.5000 0.5000 0.7027 [1 per cell]  5 W 2.72-2.87, 2 Ir 3.03
W1 0.0000 0.0000 0.5153 [1 per cell]  4 W 2.69, 4 Ir 2.72
W2 0.5000 0.5000 0.3348 [1 per cell]  4 W 2.69, 1 Ir 2.87

Summary:
distance to the lowest polymorph of the same formula	0.0	meV/atom
DFT formation energy	0.508	eV per atom



# 6
This record from Alexandria describes crystalline SrIr3W at its relaxed geometry. The functional is GGA-PBE.

Lattice parameters (Å, degrees): 4.7688 4.7688 4.7688 90.00 90.00 90.00
Last column: nearest neighbours and their distance in Å.
Space group Pm-3m (No. 221)
Symmetry-distinct sites (fractional):
Sr1 0.0000 0.0000 0.0000 [1 per cell]  6 Ir 2.38
Ir1 0.0000 0.0000 0.5000 [3 per cell]  2 Sr 2.38
W1 0.5000 0.5000 0.5000 [1 per cell]  12 Ir 3.37

Summary:
distance to the lowest polymorph of the same formula	2533.0	meV/atom
DFT formation energy	3.241	eV per atom



# 7
This record from Alexandria describes crystalline SrIrW2 at its relaxed geometry. The functional is GGA-PBE.

Lattice parameters (Å, degrees): 3.9502 3.9502 9.7381 90.00 90.00 90.00
Last column: nearest neighbours and their distance in Å.
Space group I4/mmm (No. 139)
Symmetry-distinct sites (fractional):
Sr1 0.0000 0.0000 0.0000 [2 per cell]  4 Ir 2.79
Ir1 0.0000 0.0000 0.5000 [2 per cell]  4 Sr 2.79
W1 0.0000 0.5000 0.2500 [4 per cell]  4 W 2.79

Summary:
distance to the lowest polymorph of the same formula	534.3	meV/atom
DFT formation energy	1.042	eV per atom



# 8
This record from Alexandria describes crystalline SrIrW2 at its relaxed geometry. The functional is GGA-PBE.

Lattice parameters (Å, degrees): 3.1063 4.6828 5.1117 90.00 90.00 90.00
Last column: nearest neighbours and their distance in Å.
Space group Pmmm (No. 47)
Symmetry-distinct sites (fractional):
Sr1 0.0000 0.0000 0.0000 [1 per cell]  4 Ir 2.81, 4 W 2.99, 2 Sr 3.11
Ir1 0.5000 0.5000 0.0000 [1 per cell]  4 Sr 2.81, 4 W 2.99, 2 Ir 3.11
W1 0.0000 0.5000 0.5000 [1 per cell]  6 W 2.81-3.11, 4 Ir 2.99
W2 0.5000 0.0000 0.5000 [1 per cell]  6 W 2.81-3.11, 4 Sr 2.99

Summary:
distance to the lowest polymorph of the same formula	401.6	meV/atom
DFT formation energy	0.909	eV per atom



# 9
This record from Alexandria describes crystalline SrIrW2 at its relaxed geometry. The functional is GGA-PBE.

Lattice parameters (Å, degrees): 2.8779 2.8779 31.0098 90.00 90.00 120.00
Last column: nearest neighbours and their distance in Å.
Space group R-3m (No. 166, hexagonal axes)
Symmetry-distinct sites (fractional):
Sr1 0.0000 0.0000 0.0000 [3 per cell]  6 Sr 2.88
Ir1 0.0000 0.0000 0.5000 [3 per cell]  6 W 2.76, 6 Ir 2.88
W1 0.0000 0.0000 0.2378 [6 per cell]  3 Ir 2.76, 6 W 2.88

Summary:
distance to the lowest polymorph of the same formula	304.9	meV/atom
DFT formation energy	0.813	eV per atom



# 10
This record from Alexandria describes crystalline SrIrW2 at its relaxed geometry. The functional is GGA-PBE.

Lattice parameters (Å, degrees): 3.9659 4.0151 9.4882 90.00 90.00 90.00
Last column: nearest neighbours and their distance in Å.
Space group Cmmm (No. 65)
Symmetry-distinct sites (fractional):
Sr1 0.0000 0.0000 0.0000 [2 per cell]  4 Sr 2.82
Ir1 0.0000 0.0000 0.5000 [2 per cell]  8 W 2.76-2.78, 4 Ir 2.82
W1 0.0000 0.5000 0.2970 [4 per cell]  4 Ir 2.76-2.78, 4 W 2.82

Summary:
distance to the lowest polymorph of the same formula	174.8	meV/atom
DFT formation energy	0.683	eV per atom



# 11
This record from Alexandria describes crystalline SrIrW2 at its relaxed geometry. The functional is GGA-PBE.

Lattice parameters (Å, degrees): 5.5590 9.8265 2.8046 90.00 107.94 90.00
Last column: nearest neighbours and their distance in Å.
Space group C2/m (No. 12)
Symmetry-distinct sites (fractional):
Sr1 0.0000 0.0000 0.0000 [2 per cell]  2 Ir 2.78, 2 Sr 2.80, 4 W 2.96
Ir1 0.0000 0.5000 0.0000 [2 per cell]  2 Sr 2.78, 2 Ir 2.80, 4 W 2.96
W1 0.2500 0.2500 0.5000 [4 per cell]  4 W 2.78-2.80, 2 Ir 2.96, 2 Sr 2.96

Summary:
distance to the lowest polymorph of the same formula	393.6	meV/atom
DFT formation energy	0.902	eV per atom



# 12
This record from Alexandria describes crystalline Sr2Ir2W at its relaxed geometry. The functional is GGA-PBE.

Lattice parameters (Å, degrees): 4.0101 4.0101 13.7644 90.00 90.00 90.00
Last column: nearest neighbours and their distance in Å.
Space group I4/mmm (No. 139)
Symmetry-distinct sites (fractional):
Sr1 0.0000 0.5000 0.2500 [4 per cell]  4 Sr 2.84, 4 Ir 3.00
Ir1 0.0000 0.0000 0.0882 [4 per cell]  1 Ir 2.43
W1 0.0000 0.0000 0.5000 [2 per cell]  8 Ir 3.08

Summary:
distance to the lowest polymorph of the same formula	1324.4	meV/atom
DFT formation energy	1.388	eV per atom



# 13
This record from Alexandria describes crystalline SrIr2W2 at its relaxed geometry. The functional is GGA-PBE.

Lattice parameters (Å, degrees): 4.6324 4.6324 9.7421 90.00 90.00 90.00
Last column: nearest neighbours and their distance in Å.
Space group I4/mmm (No. 139)
Symmetry-distinct sites (fractional):
Sr1 0.0000 0.0000 0.0000 [2 per cell]  8 Ir 3.36, 10 W 3.53-3.57
Ir1 0.0000 0.5000 0.2500 [4 per cell]  4 W 2.58
W1 0.0000 0.0000 0.3661 [4 per cell]  4 Ir 2.58, 1 W 2.61

Summary:
distance to the lowest polymorph of the same formula	163.0	meV/atom
DFT formation energy	0.231	eV per atom



# 14
This record from Alexandria describes crystalline SrIrW2 at its relaxed geometry. The functional is GGA-PBE.

Lattice parameters (Å, degrees): 4.9745 4.9745 17.6105 90.00 90.00 90.00
Last column: nearest neighbours and their distance in Å.
Space group I4_1/amd (No. 141, origin choice 2)
Symmetry-distinct sites (fractional):
Sr1 0.0000 0.2500 0.3750 [4 per cell]  4 Ir 3.52, 8 W 3.55
Ir1 0.0000 0.2500 0.8750 [4 per cell]  4 W 2.53
W1 0.0000 0.0000 0.0000 [8 per cell]  2 W 2.49, 2 Ir 2.53

Summary:
distance to the lowest polymorph of the same formula	564.3	meV/atom
DFT formation energy	1.072	eV per atom



Raw total energy per entry: -35.393, -67.982, -41.383, -193.344, -34.418, -25.012, -64.561, -32.811, -99.594, -67.436, -65.686, -54.197, -88.310, -128.641 eV/cell